OsAu5: relaxed, GGA-PBE.

a b c (Å): 7.752 7.752 4.870
angles (deg): 90.00 90.00 159.16
Sites, in units of the cell vectors:
Os (0.887, 0.113, 0.500)
Au (0.999, 0.001, 0.000)
Au (0.665, 0.335, 0.000)
Au (0.338, 0.662, 0.000)
Au (0.551, 0.449, 0.500)
Au (0.226, 0.774, 0.500)

excess energy over the best structure of this formula in the dataset	10	meV/atom
total energy	-25.49	eV/f.u.